## CaY2Au (PBE)

Data for CaY2Au after structural relaxation.

Cell lengths 4.088, 6.599, 9.279 Å; angles 90.00, 90.00, 108.09 degrees
Fractional positions:
Ca 0.943 0.886 0.250
Ca 0.057 0.114 0.750
Y 0.358 0.716 0.554
Y 0.642 0.284 0.446
Y 0.358 0.716 0.946
Y 0.642 0.284 0.054
Au 0.759 0.519 0.750
Au 0.241 0.481 0.250

Output
Space group: Cmcm
E_form, eV/atom: -0.40
Total magnetization, μB per formula unit: 0.00
Calculated total energy, eV for the cell shown: -39.60
Calculated volume, Å³/cell: 237.9
Distance to the lowest polymorph of the same formula, meV/atom: 0.0

## Ca3YAu (PBE)

Data for Ca3YAu after structural relaxation.

Cell lengths 6.098, 6.098, 6.098 Å; angles 90.00, 90.00, 90.00 degrees
Fractional positions:
Y 0.000 0.000 0.000
Ca 0.000 0.500 0.000
Ca 0.000 0.000 0.500
Ca 0.500 0.000 0.000
Au 0.500 0.500 0.500

Output
Space group: Pm-3m
E_form, eV/atom: 0.96
Total magnetization, μB per formula unit: 3.82
Calculated total energy, eV for the cell shown: -10.96
Calculated volume, Å³/cell: 226.8
Distance to the lowest polymorph of the same formula, meV/atom: 1080.5

## CaYAu2 (PBE)

Data for CaYAu2 after structural relaxation.

Cell lengths 4.200, 4.200, 7.477 Å; angles 73.64, 73.64, 60.07 degrees
Fractional positions:
Y 0.750 0.750 0.750
Ca 0.250 0.250 0.250
Au 0.004 0.004 0.988
Au 0.496 0.496 0.512

Output
Space group: C2/m
E_form, eV/atom: -0.73
Total magnetization, μB per formula unit: 0.00
Calculated total energy, eV for the cell shown: -17.96
Calculated volume, Å³/cell: 108.1

## CaY2Au (PBE)

Data for CaY2Au after structural relaxation.

Cell lengths 5.079, 5.079, 4.212 Å; angles 90.00, 90.00, 90.00 degrees
Fractional positions:
Y 0.000 0.000 0.000
Y 0.500 0.500 0.000
Ca 0.000 0.500 0.500
Au 0.500 0.000 0.500

Output
Space group: P4/mmm
E_form, eV/atom: -0.23
Total magnetization, μB per formula unit: 0.00
Calculated total energy, eV for the cell shown: -19.13
Calculated volume, Å³/cell: 108.7
Distance to the lowest polymorph of the same formula, meV/atom: 167.2

Which formula does entry 4 have? CaY2Au